No. 1
Nb4V2N | GGA-PBE | relaxed

Cell lengths 4.174, 4.174, 13.225 Å; angles 90.00, 90.00, 90.00 degrees
Space group I4/mmm (No. 139)
Asymmetric unit:
Nb 0.000 0.000 0.177 [4 per cell]
Nb 0.000 0.500 0.000 [4 per cell]
V 0.000 0.000 0.369 [4 per cell]
N 0.000 0.000 0.000 [2 per cell]

Results
DOS(E_F) = 1.47 states/eV per atom

No. 2
NbV4N2 | GGA-PBE | relaxed

Cell lengths 4.968, 2.926, 11.562 Å; angles 90.00, 100.43, 90.00 degrees
Space group C2/m (No. 12)
Asymmetric unit:
Nb 0.000 0.000 0.000 [2 per cell]
V 0.042 0.500 0.208 [4 per cell]
V 0.212 0.500 0.597 [4 per cell]
N 0.086 0.000 0.694 [4 per cell]

Results
DOS(E_F) = 0.60 states/eV per atom

No. 3
NbV2N | GGA-PBE | relaxed

Cell lengths 5.608, 5.608, 7.711 Å; angles 90.00, 90.00, 90.00 degrees
Space group I-42d (No. 122)
Asymmetric unit:
Nb 0.000 0.000 0.000 [4 per cell]
V 0.125 0.750 0.625 [8 per cell]
N 0.000 0.000 0.500 [4 per cell]

Results
DOS(E_F) = 1.02 states/eV per atom

No. 4
Nb3V3N | GGA-PBE | relaxed

Cell lengths 11.707, 11.707, 11.707 Å; angles 90.00, 90.00, 90.00 degrees
Space group Fd-3m (No. 227, origin choice 2)
Asymmetric unit:
Nb 0.064 0.375 0.375 [48 per cell]
V 0.000 0.000 0.500 [16 per cell]
V 0.043 0.043 0.707 [32 per cell]
N 0.000 0.000 0.000 [16 per cell]

Results
DOS(E_F) = 0.95 states/eV per atom

| no. | raw formation energy (eV/atom) | M_tot (μB per cell) |
| --- | --- | --- |
| 1 | 0.178 | 0.0 |
| 2 | -0.749 | 0.0 |
| 3 | 0.042 | 0.0 |
| 4 | -0.434 | 0.0 |